1.
SrY3Rh: relaxed, PBE.

Structure (POSCAR):
```
SrY3Rh
1.0
5.523 0.000 0.000
0.000 5.523 0.000
0.000 0.000 5.523
Sr Y Rh
1 3 1
direct
0.000 0.000 0.000 Sr
0.000 0.500 0.500 Y
0.500 0.000 0.500 Y
0.500 0.500 0.000 Y
0.500 0.500 0.500 Rh
```

Properties
total moment: 0.00 μB/cell
calculated formation energy: -0.29 eV/atom
Fermi-level density of states: 1.7077 states/eV per atom
DFT total energy: -5.9737 eV/atom
E above lowest polymorph: 0 meV per atom

=====

2.
Sr2YRh: relaxed, PBE.

Structure (POSCAR):
```
Sr2YRh
1.0
4.722 -1.959 0.000
4.722 1.959 0.000
-2.572 0.000 8.265
Sr Y Rh
2 1 1
direct
0.000 0.000 0.000 Sr
0.161 0.161 0.593 Sr
0.350 0.350 0.297 Y
0.642 0.642 0.297 Rh
```

Properties
total moment: 0.00 μB/cell
calculated formation energy: -0.20 eV/atom
Fermi-level density of states: 0.9174 states/eV per atom
DFT total energy: -4.4963 eV/atom
E above lowest polymorph: 90 meV per atom

=====

3.
Sr2YRh: relaxed, PBE.

Structure (POSCAR):
```
Sr2YRh
1.0
-2.272 2.272 5.651
2.272 -2.272 5.651
2.272 2.272 -5.651
Sr Y Rh
2 1 1
direct
0.250 0.750 0.500 Sr
0.750 0.250 0.500 Sr
0.000 0.000 0.000 Y
0.500 0.500 0.000 Rh
```

Properties
total moment: 0.00 μB/cell
calculated formation energy: 0.18 eV/atom
Fermi-level density of states: 0.8971 states/eV per atom
DFT total energy: -4.1127 eV/atom
E above lowest polymorph: 473 meV per atom

=====

> Which formula does entry 1 have?

SrY3Rh

=====

> Number 1 is which compound?

SrY3Rh

=====

> Among the records above, which one has the highest Fermi-level density of states?

SrY3Rh

=====

> Which of these has the highest Fermi-level density of states?

SrY3Rh